# 1
! TiReN3 (PBE-GGA, optimized geometry); values from VASP
! **ΔE_f (raw)**: -0.491 eV/atom
! **Total moment**: 0.000 μB per atom
! **Crystal system**: monoclinic
! **DOS at the Fermi energy**: 0.3281 states/eV per atom
&SYSTEM
  ibrav = 0, nat = 10, ntyp = 3
/
ATOMIC_SPECIES
Ti 47.87 Ti.upf
Re 186.21 Re.upf
N 14.01 N.upf
ATOMIC_POSITIONS angstrom
Ti 0.000 0.000 0.000
Ti 5.013 0.000 3.056
Re 1.074 0.000 5.436
Re 2.414 0.000 1.863
N 1.687 0.000 3.647
N 1.167 0.000 7.469
N 3.170 0.000 6.050
N 4.350 0.000 5.370
N 5.863 0.000 1.183
N 8.582 0.000 2.338
CELL_PARAMETERS angstrom
4.755 -1.459 0.000
4.755 1.459 0.000
-2.155 0.000 7.481

=====

# 2
! AlPdPt2 (PBE-GGA, optimized geometry); values from VASP
! **Total moment**: 0.000 μB per atom
! **DFT formation energy**: -0.299 eV/atom
! **Crystal system**: tetragonal
! **DOS at the Fermi energy**: 0.9213 states/eV per atom
&SYSTEM
  ibrav = 0, nat = 16, ntyp = 3
/
ATOMIC_SPECIES
Al 26.98 Al.upf
Pd 106.42 Pd.upf
Pt 195.08 Pt.upf
ATOMIC_POSITIONS angstrom
Al 0.000 0.000 0.000
Al 0.000 1.890 4.633
Al 1.890 0.000 13.899
Al 1.890 1.890 9.266
Pd 0.000 0.000 9.266
Pd 0.000 1.890 13.899
Pd 1.890 0.000 4.633
Pd 1.890 1.890 0.000
Pt 0.929 0.945 2.316
Pt 0.945 2.819 6.949
Pt 0.945 2.850 16.215
Pt 0.960 0.945 11.582
Pt 2.819 2.835 11.582
Pt 2.835 0.929 16.215
Pt 2.835 0.960 6.949
Pt 2.850 2.835 2.316
CELL_PARAMETERS angstrom
3.779 0.000 0.000
0.000 3.779 0.000
0.000 0.000 18.532

=====

# 3
! Be2CrCl (PBE-GGA, optimized geometry); values from VASP
! **E above lowest polymorph**: 0.217 eV per atom
! **ΔE_f (raw)**: 0.410 eV/atom
! **Total moment**: 0.506 μB per atom
! **Crystal system**: tetragonal
! **DOS at the Fermi energy**: 0.6359 states/eV per atom
&SYSTEM
  ibrav = 0, nat = 4, ntyp = 3
/
ATOMIC_SPECIES
Be 9.01 Be.upf
Cr 52.00 Cr.upf
Cl 35.45 Cl.upf
ATOMIC_POSITIONS angstrom
Be 0.000 0.000 1.052
Be 0.000 0.000 4.568
Cr 1.506 1.506 0.000
Cl 1.506 1.506 2.810
CELL_PARAMETERS angstrom
3.012 0.000 0.000
0.000 3.012 0.000
0.000 0.000 5.620

=====

# 4
! Li6GaAu2 (PBE-GGA, optimized geometry); values from VASP
! **E above lowest polymorph**: 0.018 eV per atom
! **Total moment**: 0.000 μB per atom
! **DFT formation energy**: -0.357 eV/atom
! **Crystal system**: trigonal
! **DOS at the Fermi energy**: 0.4006 states/eV per atom
&SYSTEM
  ibrav = 0, nat = 9, ntyp = 3
/
ATOMIC_SPECIES
Li 6.94 Li.upf
Ga 69.72 Ga.upf
Au 196.97 Au.upf
ATOMIC_POSITIONS angstrom
Li 0.000 0.000 2.251
Li 0.000 0.000 5.325
Li 0.000 0.000 8.188
Li 0.000 0.000 18.541
Li 0.000 0.000 21.404
Li 0.000 0.000 24.478
Ga 0.000 0.000 13.365
Au 0.000 0.000 10.839
Au 0.000 0.000 15.891
CELL_PARAMETERS angstrom
2.271 1.311 8.910
-2.271 1.311 8.910
0.000 -2.622 8.910

=====

# 5
! Hf2HgH (PBE-GGA, optimized geometry); values from VASP
! **E above lowest polymorph**: 0.554 eV per atom
! **Total moment**: 0.000 μB per atom
! **Crystal system**: cubic
! **DOS at the Fermi energy**: 0.7590 states/eV per atom
&SYSTEM
  ibrav = 0, nat = 16, ntyp = 3
/
ATOMIC_SPECIES
Hf 178.49 Hf.upf
Hg 200.59 Hg.upf
H 1.01 H.upf
ATOMIC_POSITIONS angstrom
Hf 1.654 1.654 1.654
Hf 1.654 1.654 4.962
Hf 1.654 4.962 1.654
Hf 1.654 4.962 4.962
Hf 4.962 1.654 1.654
Hf 4.962 1.654 4.962
Hf 4.962 4.962 1.654
Hf 4.962 4.962 4.962
Hg 0.000 0.000 0.000
Hg 0.000 3.308 3.308
Hg 3.308 0.000 3.308
Hg 3.308 3.308 0.000
H 0.000 0.000 3.308
H 0.000 3.308 0.000
H 3.308 0.000 0.000
H 3.308 3.308 3.308
CELL_PARAMETERS angstrom
6.616 0.000 0.000
0.000 6.616 0.000
0.000 0.000 6.616

=====

# 6
! PmDy4Al2 (PBE-GGA, optimized geometry); values from VASP
! **E above lowest polymorph**: 0.000 eV per atom
! **Total moment**: 0.000 μB per atom
! **DFT formation energy**: -0.037 eV/atom
! **Crystal system**: orthorhombic
! **DOS at the Fermi energy**: 1.3055 states/eV per atom
&SYSTEM
  ibrav = 0, nat = 7, ntyp = 3
/
ATOMIC_SPECIES
Pm 145.00 Pm.upf
Dy 162.50 Dy.upf
Al 26.98 Al.upf
ATOMIC_POSITIONS angstrom
Pm 0.000 0.000 0.000
Dy 1.691 2.605 2.890
Dy 3.382 3.530 5.780
Dy 3.382 6.889 5.780
Dy 5.074 7.814 8.670
Al 3.382 5.210 3.164
Al 3.382 5.210 8.396
CELL_PARAMETERS angstrom
0.000 5.210 5.780
3.382 0.000 5.780
3.382 5.210 0.000

=====

# 7
! AcDy5Y2 (PBE-GGA, optimized geometry); values from VASP
! **Total moment**: 0.000 μB per atom
! **DFT formation energy**: 0.039 eV/atom
! **Crystal system**: orthorhombic
! **DOS at the Fermi energy**: 1.3190 states/eV per atom
&SYSTEM
  ibrav = 0, nat = 16, ntyp = 3
/
ATOMIC_SPECIES
Ac 227.00 Ac.upf
Dy 162.50 Dy.upf
Y 88.91 Y.upf
ATOMIC_POSITIONS angstrom
Ac 0.000 0.000 0.000
Ac 3.614 7.227 0.000
Dy 0.001 3.662 0.000
Dy 0.000 7.227 0.000
Dy 7.227 10.792 0.000
Dy 1.778 5.377 2.540
Dy 1.836 12.604 2.540
Dy 3.614 0.000 0.000
Dy 3.615 3.565 0.000
Dy 3.613 10.889 0.000
Dy 5.392 1.849 2.540
Dy 5.450 9.076 2.540
Y 1.784 9.079 2.540
Y 1.830 1.852 2.540
Y 5.398 12.601 2.540
Y 5.444 5.375 2.540
CELL_PARAMETERS angstrom
7.228 0.000 0.000
0.000 14.454 0.000
0.000 0.000 5.079